Here is a relaxed LiFePO4 crystal from the Alexandria database. Energies are from PBE with a Hubbard U.

DOS at the Fermi energy: 0.00 states/eV per cell
space group: P1
calculated total energy: -94.96 eV/cell
theoretical density: 2373 kg/m3
magnetization: 4.0 μB/f.u.

a b c (Å): 5.141 5.144 9.552
angles (deg): 89.72 89.99 60.94
Positions (direct):
1 Li 0.000 0.000 0.000
2 Li 0.060 0.992 0.499
3 Fe 0.388 0.331 0.623
4 Fe 0.674 0.659 0.123
5 P 0.334 0.324 0.981
6 P 0.726 0.668 0.480
7 O 0.006 0.376 0.527
8 O 0.053 0.615 0.025
9 O 0.326 0.055 0.053
10 O 0.339 0.283 0.822
11 O 0.441 0.655 0.527
12 O 0.618 0.337 0.029
13 O 0.725 0.708 0.321
14 O 0.733 0.936 0.552